Version 1
Material: Ba2TeAu2
Method: DFT, PBE
State: optimized geometry

Output
Space-group type: I4/mmm, No. 139
N(E_F) in states/eV/f.u.: 0.0
Magnetization in μB/f.u.: 0.0

```
10
Lattice="5.969 0.000 0.000 0.000 5.969 0.000 0.000 0.000 10.529" Properties=species:S:1:pos:R:3 pbc="T T T"
Ba 0.000 2.985 2.632
Ba 0.000 2.985 7.897
Ba 2.985 0.000 2.632
Ba 2.985 0.000 7.897
Te 0.000 0.000 0.000
Te 2.985 2.985 5.264
Au 0.000 0.000 3.908
Au 0.000 0.000 6.621
Au 2.985 2.985 1.356
Au 2.985 2.985 9.172
```

---

Version 2
Material: Ba2TeAu2
Method: DFT, PBE
State: optimized geometry

Output
Space-group type: P4/mbm, No. 127
N(E_F) in states/eV/f.u.: 1.1
Magnetization in μB/f.u.: 0.0

```
10
Lattice="9.159 0.000 0.000 0.000 9.159 0.000 0.000 0.000 4.428" Properties=species:S:1:pos:R:3 pbc="T T T"
Ba 1.613 2.966 0.000
Ba 2.966 7.545 0.000
Ba 6.193 1.613 0.000
Ba 7.545 6.193 0.000
Te 0.000 0.000 0.000
Te 4.579 4.579 0.000
Au 1.039 5.618 2.214
Au 3.541 1.039 2.214
Au 5.618 8.120 2.214
Au 8.120 3.541 2.214
```

---

Version 3
Material: Ba2TeAu2
Method: DFT, PBE
State: optimized geometry

Output
Space-group type: P4/mbm, No. 127
N(E_F) in states/eV/f.u.: 1.9
Magnetization in μB/f.u.: 0.0

```
10
Lattice="8.732 0.000 0.000 0.000 8.732 0.000 0.000 0.000 4.350" Properties=species:S:1:pos:R:3 pbc="T T T"
Ba 1.612 2.754 0.000
Ba 2.754 7.120 0.000
Ba 5.978 1.612 0.000
Ba 7.120 5.978 0.000
Te 0.000 0.000 2.175
Te 4.366 4.366 2.175
Au 0.991 5.357 2.175
Au 3.375 0.991 2.175
Au 5.357 7.741 2.175
Au 7.741 3.375 2.175
```

---

Stability, lowest: version 1

---

Version 1
Material: Ba2TiAu
Method: DFT, PBE
State: optimized geometry

Output
Space-group type: I-42d, No. 122
N(E_F) in states/eV/f.u.: 8.5
Magnetization in μB/f.u.: 0.6

```
16
Lattice="9.143 0.000 0.000 0.000 9.143 0.000 0.000 0.000 6.729" Properties=species:S:1:pos:R:3 pbc="T T T"
Ba 1.977 2.286 0.841
Ba 2.286 6.548 2.523
Ba 2.286 7.167 5.888
Ba 2.595 2.286 4.205
Ba 6.548 6.858 4.205
Ba 6.858 1.977 5.888
Ba 6.858 2.595 2.523
Ba 7.167 6.858 0.841
Ti 0.000 0.000 3.364
Ti 0.000 4.572 5.047
Ti 4.572 0.000 1.682
Ti 4.572 4.572 0.000
Au 0.000 0.000 0.000
Au 0.000 4.572 1.682
Au 4.572 0.000 5.047
Au 4.572 4.572 3.364
```

---

Version 2
Material: Ba2TiAu
Method: DFT, PBE
State: optimized geometry

Output
Space-group type: Fm-3m, No. 225
N(E_F) in states/eV/f.u.: 5.8
Magnetization in μB/f.u.: 0.1

```
16
Lattice="8.124 0.000 0.000 0.000 8.124 0.000 0.000 0.000 8.124" Properties=species:S:1:pos:R:3 pbc="T T T"
Ba 2.031 2.031 2.031
Ba 2.031 2.031 6.093
Ba 2.031 6.093 2.031
Ba 2.031 6.093 6.093
Ba 6.093 2.031 2.031
Ba 6.093 2.031 6.093
Ba 6.093 6.093 2.031
Ba 6.093 6.093 6.093
Ti 0.000 0.000 0.000
Ti 0.000 4.062 4.062
Ti 4.062 0.000 4.062
Ti 4.062 4.062 0.000
Au 0.000 0.000 4.062
Au 0.000 4.062 0.000
Au 4.062 0.000 0.000
Au 4.062 4.062 4.062
```

---

Stability, lowest: version 1

---

Version 1
Material: BaTi2Au
Method: DFT, PBE
State: optimized geometry

Output
Space-group type: I-42d, No. 122
N(E_F) in states/eV/f.u.: 9.6
Magnetization in μB/f.u.: 0.0

```
16
Lattice="4.658 0.000 0.000 0.000 4.658 0.000 0.000 0.000 20.926" Properties=species:S:1:pos:R:3 pbc="T T T"
Ba 0.000 0.000 0.000
Ba 0.000 2.329 5.232
Ba 2.329 0.000 15.695
Ba 2.329 2.329 10.463
Ti 0.162 3.494 13.079
Ti 1.165 0.162 7.847
Ti 1.165 2.167 18.310
Ti 2.167 3.494 2.616
Ti 2.491 1.165 2.616
Ti 3.494 2.491 18.310
Ti 3.494 4.496 7.847
Ti 4.496 1.165 13.079
Au 0.000 0.000 10.463
Au 0.000 2.329 15.695
Au 2.329 0.000 5.232
Au 2.329 2.329 0.000
```

---

Version 2
Material: BaTi2Au
Method: DFT, PBE
State: optimized geometry

Output
Space-group type: Fm-3m, No. 225
N(E_F) in states/eV/f.u.: 6.0
Magnetization in μB/f.u.: 0.0

```
16
Lattice="6.915 0.000 0.000 0.000 6.915 0.000 0.000 0.000 6.915" Properties=species:S:1:pos:R:3 pbc="T T T"
Ba 0.000 0.000 0.000
Ba 0.000 3.458 3.458
Ba 3.458 0.000 3.458
Ba 3.458 3.458 0.000
Ti 1.729 1.729 1.729
Ti 1.729 1.729 5.186
Ti 1.729 5.186 1.729
Ti 1.729 5.186 5.186
Ti 5.186 1.729 1.729
Ti 5.186 1.729 5.186
Ti 5.186 5.186 1.729
Ti 5.186 5.186 5.186
Au 0.000 0.000 3.458
Au 0.000 3.458 0.000
Au 3.458 0.000 0.000
Au 3.458 3.458 3.458
```

---

Stability, lowest: version 2

---

Version 1
Material: BaTiAu2
Method: DFT, PBE
State: optimized geometry

Output
Space-group type: Fm-3m, No. 225
N(E_F) in states/eV/f.u.: 5.3
Magnetization in μB/f.u.: 0.0

```
16
Lattice="7.387 0.000 0.000 0.000 7.387 0.000 0.000 0.000 7.387" Properties=species:S:1:pos:R:3 pbc="T T T"
Ba 0.000 0.000 0.000
Ba 0.000 3.693 3.693
Ba 3.693 0.000 3.693
Ba 3.693 3.693 0.000
Ti 0.000 0.000 3.693
Ti 0.000 3.693 0.000
Ti 3.693 0.000 0.000
Ti 3.693 3.693 3.693
Au 1.847 1.847 1.847
Au 1.847 1.847 5.540
Au 1.847 5.540 1.847
Au 1.847 5.540 5.540
Au 5.540 1.847 1.847
Au 5.540 1.847 5.540
Au 5.540 5.540 1.847
Au 5.540 5.540 5.540
```

---

Version 2
Material: BaTiAu2
Method: DFT, PBE
State: optimized geometry

Output
Space-group type: I-42d, No. 122
N(E_F) in states/eV/f.u.: 5.1
Magnetization in μB/f.u.: 1.3

```
16
Lattice="5.414 0.000 0.000 0.000 5.414 0.000 0.000 0.000 17.671" Properties=species:S:1:pos:R:3 pbc="T T T"
Ba 0.000 0.000 0.000
Ba 0.000 2.707 4.418
Ba 2.707 0.000 13.253
Ba 2.707 2.707 8.835
Ti 0.000 0.000 8.835
Ti 0.000 2.707 13.253
Ti 2.707 0.000 4.418
Ti 2.707 2.707 0.000
Au 0.033 1.354 11.044
Au 1.354 2.740 15.462
Au 1.354 5.381 6.626
Au 2.674 1.354 2.209
Au 2.740 4.061 2.209
Au 4.061 0.033 6.626
Au 4.061 2.674 15.462
Au 5.381 4.061 11.044
```

---

Stability, lowest: version 1

---

Version 1
Material: BaTi3Au
Method: DFT, PBE
State: optimized geometry

Output
Space-group type: Pm-3m, No. 221
N(E_F) in states/eV/f.u.: 6.9
Magnetization in μB/f.u.: 2.2

```
5
Lattice="4.929 0.000 0.000 0.000 4.929 0.000 0.000 0.000 4.929" Properties=species:S:1:pos:R:3 pbc="T T T"
Ba 0.000 0.000 0.000
Ti 0.000 0.000 2.464
Ti 0.000 2.464 0.000
Ti 2.464 0.000 0.000
Au 2.464 2.464 2.464
```

---

Version 2
Material: BaTi3Au
Method: DFT, PBE
State: optimized geometry

Output
Space-group type: Pm-3m, No. 221
N(E_F) in states/eV/f.u.: 4.7
Magnetization in μB/f.u.: 1.0

```
5
Lattice="5.106 0.000 0.000 0.000 5.106 0.000 0.000 0.000 5.106" Properties=species:S:1:pos:R:3 pbc="T T T"
Ba 0.000 0.000 0.000
Ti 0.000 2.553 2.553
Ti 2.553 0.000 2.553
Ti 2.553 2.553 0.000
Au 2.553 2.553 2.553
```

---

Stability, lowest: version 1

---

Version 1
Material: Ba3TlAu
Method: DFT, PBE
State: optimized geometry

Output
Space-group type: P4/mmm, No. 123
N(E_F) in states/eV/f.u.: 4.6
Magnetization in μB/f.u.: 0.0

```
5
Lattice="4.582 0.000 0.000 0.000 4.582 0.000 0.000 0.000 10.688" Properties=species:S:1:pos:R:3 pbc="T T T"
Ba 0.000 0.000 0.000
Ba 2.291 2.291 3.367
Ba 2.291 2.291 7.321
Tl 0.000 0.000 5.344
Au 2.291 2.291 0.000
```

---

Version 2
Material: Ba3TlAu
Method: DFT, PBE
State: optimized geometry

Output
Space-group type: Pm-3m, No. 221
N(E_F) in states/eV/f.u.: 5.8
Magnetization in μB/f.u.: 1.0

```
5
Lattice="6.347 0.000 0.000 0.000 6.347 0.000 0.000 0.000 6.347" Properties=species:S:1:pos:R:3 pbc="T T T"
Ba 0.000 0.000 3.173
Ba 0.000 3.173 0.000
Ba 3.173 0.000 0.000
Tl 3.173 3.173 3.173
Au 0.000 0.000 0.000
```

---

Version 3
Material: Ba3TlAu
Method: DFT, PBE
State: optimized geometry

Output
Space-group type: P1, No. 1
N(E_F) in states/eV/f.u.: 5.3
Magnetization in μB/f.u.: 0.0

```
10
Lattice="6.037 0.000 0.000 0.005 8.359 0.000 0.004 0.469 8.882" Properties=species:S:1:pos:R:3 pbc="T T T"
Ba 0.000 0.000 0.000
Ba 6.039 1.428 4.067
Ba 0.006 4.168 7.296
Ba 6.041 5.548 3.140
Ba 3.021 3.005 1.465
Ba 3.029 7.499 6.115
Tl 3.021 3.778 4.927
Tl 3.024 7.656 2.094
Au 0.011 7.121 6.006
Au 3.029 2.185 7.389
```

---

Stability, lowest: version 2

---

Version 1
Material: Ba2TlAu
Method: DFT, PBE
State: optimized geometry

Output
Space-group type: Fm-3m, No. 225
N(E_F) in states/eV/f.u.: 2.8
Magnetization in μB/f.u.: 0.0

```
16
Lattice="8.335 0.000 0.000 0.000 8.335 0.000 0.000 0.000 8.335" Properties=species:S:1:pos:R:3 pbc="T T T"
Ba 2.084 2.084 2.084
Ba 2.084 2.084 6.251
Ba 2.084 6.251 2.084
Ba 2.084 6.251 6.251
Ba 6.251 2.084 2.084
Ba 6.251 2.084 6.251
Ba 6.251 6.251 2.084
Ba 6.251 6.251 6.251
Tl 0.000 0.000 0.000
Tl 0.000 4.167 4.167
Tl 4.167 0.000 4.167
Tl 4.167 4.167 0.000
Au 0.000 0.000 4.167
Au 0.000 4.167 0.000
Au 4.167 0.000 0.000
Au 4.167 4.167 4.167
```

---

Version 2
Material: Ba2TlAu
Method: DFT, PBE
State: optimized geometry

Output
Space-group type: I-42d, No. 122
N(E_F) in states/eV/f.u.: 2.7
Magnetization in μB/f.u.: 0.0

```
16
Lattice="9.144 0.000 0.000 0.000 9.144 0.000 0.000 0.000 8.106" Properties=species:S:1:pos:R:3 pbc="T T T"
Ba 1.971 2.286 1.013
Ba 2.286 6.543 3.040
Ba 2.286 7.173 7.093
Ba 2.601 2.286 5.066
Ba 6.543 6.858 5.066
Ba 6.858 1.971 7.093
Ba 6.858 2.601 3.040
Ba 7.173 6.858 1.013
Tl 0.000 0.000 4.053
Tl 0.000 4.572 6.080
Tl 4.572 0.000 2.027
Tl 4.572 4.572 0.000
Au 0.000 0.000 0.000
Au 0.000 4.572 2.027
Au 4.572 0.000 6.080
Au 4.572 4.572 4.053
```

---

Stability, lowest: version 2

---

Version 1
Material: Ba2TlAu
Method: DFT, PBE
State: optimized geometry

Output
Space-group type: Imm2, No. 44
N(E_F) in states/eV/f.u.: 4.0
Magnetization in μB/f.u.: 0.0

```
8
Lattice="4.105 0.000 0.000 0.000 5.574 0.000 0.000 0.000 12.622" Properties=species:S:1:pos:R:3 pbc="T T T"
Ba 0.000 0.000 0.000
Ba 0.000 2.787 2.536
Ba 2.053 0.000 8.847
Ba 2.053 2.787 6.311
Tl 0.000 2.787 9.994
Tl 2.053 0.000 3.683
Au 0.000 0.000 6.007
Au 2.053 2.787 12.318
```

---

Version 2
Material: Ba2TlAu
Method: DFT, PBE
State: optimized geometry

Output
Space-group type: Cm, No. 8
N(E_F) in states/eV/f.u.: 4.1
Magnetization in μB/f.u.: 0.0

```
8
Lattice="12.902 0.000 0.000 0.000 4.478 0.000 -0.005 0.000 5.292" Properties=species:S:1:pos:R:3 pbc="T T T"
Ba 0.000 0.000 0.000
Ba 2.882 2.239 2.650
Ba 6.451 2.239 0.000
Ba 9.333 0.000 2.650
Tl 5.663 0.000 2.645
Tl 12.114 2.239 2.645
Au 3.709 0.000 0.003
Au 10.160 2.239 0.003
```

---

Version 3
Material: Ba2TlAu
Method: DFT, PBE
State: optimized geometry

Output
Space-group type: F-43m, No. 216
N(E_F) in states/eV/f.u.: 1.2
Magnetization in μB/f.u.: 0.0

```
16
Lattice="7.978 0.000 0.000 0.000 7.978 0.000 0.000 0.000 7.978" Properties=species:S:1:pos:R:3 pbc="T T T"
Ba 0.000 0.000 0.000
Ba 0.000 3.989 3.989
Ba 1.994 1.994 1.994
Ba 1.994 5.983 5.983
Ba 3.989 0.000 3.989
Ba 3.989 3.989 0.000
Ba 5.983 1.994 5.983
Ba 5.983 5.983 1.994
Tl 0.000 0.000 3.989
Tl 0.000 3.989 0.000
Tl 3.989 0.000 0.000
Tl 3.989 3.989 3.989
Au 1.994 1.994 5.983
Au 1.994 5.983 1.994
Au 5.983 1.994 1.994
Au 5.983 5.983 5.983
```

---

Version 4
Material: Ba2TlAu
Method: DFT, PBE
State: optimized geometry

Output
Space-group type: I-4m2, No. 119
N(E_F) in states/eV/f.u.: 3.7
Magnetization in μB/f.u.: 0.0

```
8
Lattice="4.977 0.000 0.000 0.000 4.977 0.000 0.000 0.000 11.420" Properties=species:S:1:pos:R:3 pbc="T T T"
Ba 0.000 0.000 0.000
Ba 0.000 2.488 2.855
Ba 2.488 0.000 8.565
Ba 2.488 2.488 5.710
Tl 0.000 2.488 8.565
Tl 2.488 0.000 2.855
Au 0.000 0.000 5.710
Au 2.488 2.488 0.000
```

---

Stability, lowest: version 3

---

Version 1
Material: Ba2TlAu
Method: DFT, PBE
State: optimized geometry

Output
Space-group type: C2/m, No. 12
N(E_F) in states/eV/f.u.: 2.8
Magnetization in μB/f.u.: 0.0

```
8
Lattice="8.034 0.000 0.000 0.000 4.641 0.000 -2.689 0.000 9.038" Properties=species:S:1:pos:R:3 pbc="T T T"
Ba 1.334 0.000 2.001
Ba -0.006 2.320 7.037
Ba 5.351 2.320 2.001
Ba 4.011 0.000 7.037
Tl -1.344 0.000 4.519
Tl 2.673 2.320 4.519
Au 0.000 2.320 0.000
Au 4.017 0.000 0.000
```

---

Version 2
Material: Ba2TlAu
Method: DFT, PBE
State: optimized geometry

Output
Space-group type: R3m, No. 160
N(E_F) in states/eV/f.u.: 3.0
Magnetization in μB/f.u.: 0.0

```
12
Lattice="4.630 0.000 0.000 -2.315 4.010 0.000 0.000 0.000 27.172" Properties=species:S:1:pos:R:3 pbc="T T T"
Ba 0.000 0.000 0.000
Ba 0.000 0.000 5.073
Ba 0.000 2.673 18.115
Ba 0.000 2.673 23.188
Ba 2.315 1.337 9.057
Ba 2.315 1.337 14.130
Tl 0.000 0.000 11.581
Tl 0.000 2.673 2.524
Tl 2.315 1.337 20.638
Au 0.000 0.000 16.102
Au 0.000 2.673 7.044
Au 2.315 1.337 25.159
```

---

Stability, lowest: version 2

---

Version 1
Material: Ba2TlAu
Method: DFT, PBE
State: optimized geometry

Output
Space-group type: I4/mmm, No. 139
N(E_F) in states/eV/f.u.: 3.4
Magnetization in μB/f.u.: 0.0

```
8
Lattice="4.272 0.000 0.000 0.000 4.272 0.000 0.000 0.000 19.525" Properties=species:S:1:pos:R:3 pbc="T T T"
Ba 0.000 0.000 3.087
Ba 0.000 0.000 16.438
Ba 2.136 2.136 6.675
Ba 2.136 2.136 12.850
Tl 0.000 0.000 9.763
Tl 2.136 2.136 0.000
Au 0.000 0.000 0.000
Au 2.136 2.136 9.763
```

---

Version 2
Material: Ba2TlAu
Method: DFT, PBE
State: optimized geometry

Output
Space-group type: Pm, No. 6
N(E_F) in states/eV/f.u.: 2.9
Magnetization in μB/f.u.: 0.0

```
4
Lattice="4.068 0.000 0.000 0.000 5.978 0.000 -0.004 0.000 5.976" Properties=species:S:1:pos:R:3 pbc="T T T"
Ba 0.000 0.000 0.000
Ba 0.000 2.989 2.985
Tl 2.031 2.989 5.972
Au 2.038 0.000 2.991
```

---

Version 3
Material: Ba2TlAu
Method: DFT, PBE
State: optimized geometry

Output
Space-group type: P2/m, No. 10
N(E_F) in states/eV/f.u.: 3.8
Magnetization in μB/f.u.: 0.0

```
4
Lattice="4.038 0.000 0.000 0.000 4.133 0.000 -0.012 0.000 8.679" Properties=species:S:1:pos:R:3 pbc="T T T"
Ba -0.002 0.000 1.992
Ba 4.028 0.000 6.687
Tl 2.013 2.066 4.340
Au 2.019 2.066 0.000
```

---

Stability, lowest: version 1

---

Version 1
Material: Ba3Tl7Au2
Method: DFT, PBE
State: optimized geometry

Output
Space-group type: P2/m, No. 10
N(E_F) in states/eV/f.u.: 7.4
Magnetization in μB/f.u.: 0.0

```
12
Lattice="5.251 0.000 0.000 0.000 4.586 0.000 -2.512 0.000 16.352" Properties=species:S:1:pos:R:3 pbc="T T T"
Ba 0.000 0.000 0.000
Ba 0.053 2.293 10.608
Ba 2.686 2.293 5.744
Tl 0.029 2.293 2.732
Tl 0.060 0.000 7.396
Tl 0.078 0.000 13.663
Tl 2.626 2.293 0.000
Tl 2.661 0.000 2.689
Tl 2.680 0.000 8.955
Tl 2.710 2.293 13.620
Au 0.070 0.000 4.562
Au 2.669 0.000 11.789
```

---

Version 2
Material: Ba3Tl7Au2
Method: DFT, PBE
State: optimized geometry

Output
Space-group type: R-3m, No. 166
N(E_F) in states/eV/f.u.: 5.6
Magnetization in μB/f.u.: 0.0

```
12
Lattice="3.266 1.886 10.327 -3.266 1.886 10.327 0.000 -3.771 10.327" Properties=species:S:1:pos:R:3 pbc="T T T"
Ba 0.000 0.000 0.000
Ba 0.000 0.000 4.306
Ba 0.000 0.000 26.674
Tl -1.659 -0.958 12.716
Tl 0.000 -1.915 18.264
Tl -1.659 0.958 18.264
Tl 0.000 0.000 15.490
Tl 1.659 -0.958 12.716
Tl 0.000 1.915 12.716
Tl 1.659 0.958 18.264
Au 0.000 0.000 10.396
Au 0.000 0.000 20.585
```

---

Stability, lowest: version 2